# YMgW2, optimized geometry, DFT PBE-GGA
data_YMgW2
_chemical_formula_sum 'Y2 Mg2 W4'
_space_group_name_H-M_alt 'C m m m'
_space_group_IT_number 65
_space_group_name_Hall '-C 2 2'
_cell_length_a 5.702
_cell_length_b 9.675
_cell_length_c 2.799
_cell_angle_alpha 90.00
_cell_angle_beta 90.00
_cell_angle_gamma 90.00
loop_
_atom_site_label
_atom_site_type_symbol
_atom_site_fract_x
_atom_site_fract_y
_atom_site_fract_z
Y1 Y 0.000 0.000 0.000
Mg1 Mg 0.000 0.500 0.000
W1 W 0.250 0.250 0.500
# - Energy of formation from the pure elements: 0.6545 eV/atom
# - Fermi-level density of states: 3.11 states/eV/f.u.

***

# YMgW2, optimized geometry, DFT PBE-GGA
data_YMgW2
_chemical_formula_sum 'Y1 Mg1 W2'
_space_group_name_H-M_alt 'P 1 2/m 1'
_space_group_IT_number 10
_cell_length_a 2.865
_cell_length_b 5.036
_cell_length_c 5.430
_cell_angle_alpha 90.00
_cell_angle_beta 98.15
_cell_angle_gamma 90.00
loop_
_space_group_symop_operation_xyz
'x,y,z'
'-x,-y,-z'
'-x,y,-z'
'x,-y,z'
loop_
_atom_site_label
_atom_site_type_symbol
_atom_site_fract_x
_atom_site_fract_y
_atom_site_fract_z
Y1 Y 0.000 0.000 0.000
Mg1 Mg 0.500 0.000 0.500
W1 W 0.306 0.500 0.763
# - Energy of formation from the pure elements: 0.5974 eV/atom
# - Fermi-level density of states: 3.03 states/eV/f.u.

***

# YMgW2, optimized geometry, DFT PBE-GGA
data_YMgW2
_chemical_formula_sum 'Y2 Mg2 W4'
_space_group_name_H-M_alt 'C m m m'
_space_group_IT_number 65
_space_group_name_Hall '-C 2 2'
_cell_length_a 3.953
_cell_length_b 3.967
_cell_length_c 9.718
_cell_angle_alpha 90.00
_cell_angle_beta 90.00
_cell_angle_gamma 90.00
loop_
_atom_site_label
_atom_site_type_symbol
_atom_site_fract_x
_atom_site_fract_y
_atom_site_fract_z
Y1 Y 0.000 0.000 0.000
Mg1 Mg 0.000 0.000 0.500
W1 W 0.000 0.500 0.264
# - Energy of formation from the pure elements: 0.6086 eV/atom
# - Fermi-level density of states: 2.02 states/eV/f.u.

***

# YMgW2, optimized geometry, DFT PBE-GGA
data_YMgW2
_chemical_formula_sum 'Y2 Mg2 W4'
_space_group_name_H-M_alt 'C 1 2/m 1'
_space_group_IT_number 12
_cell_length_a 10.278
_cell_length_b 2.833
_cell_length_c 5.340
_cell_angle_alpha 90.00
_cell_angle_beta 99.50
_cell_angle_gamma 90.00
loop_
_space_group_symop_operation_xyz
'x,y,z'
'-x,-y,-z'
'-x,y,-z'
'x,-y,z'
'x+1/2,y+1/2,z'
'-x+1/2,-y+1/2,-z'
'-x+1/2,y+1/2,-z'
'x+1/2,-y+1/2,z'
loop_
_atom_site_label
_atom_site_type_symbol
_atom_site_fract_x
_atom_site_fract_y
_atom_site_fract_z
Y1 Y 0.000 0.000 0.000
Mg1 Mg 0.000 0.500 0.500
W1 W 0.241 0.000 0.737
# - Energy of formation from the pure elements: 0.6332 eV/atom
# - Fermi-level density of states: 3.11 states/eV/f.u.

***

# YMgW3, optimized geometry, DFT PBE-GGA
data_YMgW3
_chemical_formula_sum 'Y1 Mg1 W3'
_space_group_name_H-M_alt 'P m -3 m'
_space_group_IT_number 221
_space_group_name_Hall '-P 4 2 3'
_cell_length_a 4.874
_cell_length_b 4.874
_cell_length_c 4.874
_cell_angle_alpha 90.00
_cell_angle_beta 90.00
_cell_angle_gamma 90.00
loop_
_atom_site_label
_atom_site_type_symbol
_atom_site_fract_x
_atom_site_fract_y
_atom_site_fract_z
Y1 Y 0.000 0.000 0.000
Mg1 Mg 0.500 0.500 0.500
W1 W 0.000 0.000 0.500
# - Relative energy among the computed polymorphs: 16.992 kcal/mol of atoms
# - Energy of formation from the pure elements: 2.7949 eV/atom
# - Fermi-level density of states: 6.30 states/eV/f.u.

***

# YMgW, optimized geometry, DFT PBE-GGA
data_YMgW
_chemical_formula_sum 'Y2 Mg2 W2'
_space_group_name_H-M_alt 'I 4 m m'
_space_group_IT_number 107
_space_group_name_Hall 'I 4 -2'
_cell_length_a 3.535
_cell_length_b 3.535
_cell_length_c 10.437
_cell_angle_alpha 90.00
_cell_angle_beta 90.00
_cell_angle_gamma 90.00
loop_
_atom_site_label
_atom_site_type_symbol
_atom_site_fract_x
_atom_site_fract_y
_atom_site_fract_z
Y1 Y 0.000 0.000 0.000
Mg1 Mg 0.000 0.000 0.299
W1 W 0.000 0.000 0.670
# - Relative energy among the computed polymorphs: 2.962 kcal/mol of atoms
# - Energy of formation from the pure elements: 0.6112 eV/atom
# - Fermi-level density of states: 3.40 states/eV/f.u.

***

# YMgW2, optimized geometry, DFT PBE-GGA
data_YMgW2
_chemical_formula_sum 'Y1 Mg1 W2'
_space_group_name_H-M_alt 'P 1 m 1'
_space_group_IT_number 6
_cell_length_a 2.927
_cell_length_b 4.424
_cell_length_c 6.292
_cell_angle_alpha 90.00
_cell_angle_beta 101.00
_cell_angle_gamma 90.00
loop_
_space_group_symop_operation_xyz
'x,y,z'
'x,-y,z'
loop_
_atom_site_label
_atom_site_type_symbol
_atom_site_fract_x
_atom_site_fract_y
_atom_site_fract_z
Y1 Y 0.000 0.000 0.000
Mg1 Mg 0.609 0.500 0.302
W1 W 0.128 0.000 0.537
W2 W 0.448 0.500 0.730
# - Energy of formation from the pure elements: 0.4164 eV/atom
# - Fermi-level density of states: 3.65 states/eV/f.u.

***

# YMgW2, optimized geometry, DFT PBE-GGA
data_YMgW2
_chemical_formula_sum 'Y2 Mg2 W4'
_space_group_name_H-M_alt 'C m m 2'
_space_group_IT_number 35
_cell_length_a 3.312
_cell_length_b 4.839
_cell_length_c 9.926
_cell_angle_alpha 90.00
_cell_angle_beta 90.00
_cell_angle_gamma 90.00
loop_
_space_group_symop_operation_xyz
'x,y,z'
'-x,-y,z'
'-x,y,z'
'x,-y,z'
'x+1/2,y+1/2,z'
'-x+1/2,-y+1/2,z'
'-x+1/2,y+1/2,z'
'x+1/2,-y+1/2,z'
loop_
_atom_site_label
_atom_site_type_symbol
_atom_site_fract_x
_atom_site_fract_y
_atom_site_fract_z
Y1 Y 0.000 0.000 0.000
Mg1 Mg 0.000 0.500 0.701
W1 W 0.000 0.000 0.460
W2 W 0.000 0.500 0.257
# - Energy of formation from the pure elements: 0.3924 eV/atom
# - Fermi-level density of states: 3.97 states/eV/f.u.